No. 1
Material: SrFeOs2
Method: DFT, PBE
State: relaxed

abc: 2.8516 3.6968 7.1954
angles: 90.00 90.00 90.00
With the nearest neighbours (Å) after each atom.
Space group Pmm2 (No. 25)
Unique sites:
Sr  0.0000  0.0000  0.0000  2 Sr 2.85
Fe  0.5000  0.5000  0.3254  5 Os 2.46-2.68
Os  0.0000  0.0000  0.5082  6 Os 2.60-2.85, 4 Fe 2.68
Os  0.5000  0.5000  0.6679  1 Fe 2.46, 4 Os 2.60

Computed properties:
DOS at the Fermi energy ... 1.05 states/eV per atom
Polymorph energy (0 for the lowest one) ... 1.19 eV per formula unit
Crystal system ... orthorhombic
Energy of formation ... 0.593 eV per atom

No. 2
Material: SrFeOs2
Method: DFT, PBE
State: relaxed

abc: 6.5074 6.5074 6.5074
angles: 90.00 90.00 90.00
With the nearest neighbours (Å) after each atom.
Space group Fm-3m (No. 225)
Unique sites:
Sr  0.0000  0.0000  0.0000  8 Os 2.82
Fe  0.0000  0.0000  0.5000  8 Os 2.82
Os  0.2500  0.2500  0.2500  4 Sr 2.82, 4 Fe 2.82

Computed properties:
DOS at the Fermi energy ... 1.68 states/eV per atom
Polymorph energy (0 for the lowest one) ... 3.90 eV per formula unit
Crystal system ... cubic
Energy of formation ... 1.270 eV per atom

No. 3
Material: SrFe2Os
Method: DFT, PBE
State: relaxed

abc: 3.2046 3.2046 7.0975
angles: 90.00 90.00 90.00
With the nearest neighbours (Å) after each atom.
Space group P4/mmm (No. 123)
Unique sites:
Sr  0.0000  0.0000  0.0000  4 Sr 3.20, 8 Fe 3.29, 2 Os 3.55
Fe  0.5000  0.5000  0.3360  1 Fe 2.33, 4 Os 2.55
Os  0.0000  0.0000  0.5000  8 Fe 2.55

Computed properties:
DOS at the Fermi energy ... 1.05 states/eV per atom
Polymorph energy (0 for the lowest one) ... 0.96 eV per formula unit
Crystal system ... tetragonal
Energy of formation ... 0.581 eV per atom

No. 4
Material: SrFeOs2
Method: DFT, PBE
State: relaxed

abc: 9.4862 2.8764 5.7700
angles: 90.00 104.55 90.00
With the nearest neighbours (Å) after each atom.
Space group C2/m (No. 12)
Unique sites:
Sr  0.0000  0.0000  0.0000  2 Sr 2.88, 2 Os 3.19
Fe  0.0000  0.5000  0.5000  4 Os 2.50
Os  0.2181  0.0000  0.6588  2 Fe 2.50, 2 Os 2.52

Computed properties:
DOS at the Fermi energy ... 0.77 states/eV per atom
Polymorph energy (0 for the lowest one) ... 1.59 eV per formula unit
Crystal system ... monoclinic
Energy of formation ... 0.693 eV per atom